1.
# TcTeSe2, optimized geometry, DFT GGA-PBEsol
# **Density of states at the Fermi level**: 6.66 states/eV/cell
data_TcTeSe2
_space_group_name_H-M_alt 'I m m 2'
_space_group_IT_number 44
_cell_length_a 3.094
_cell_length_b 4.433
_cell_length_c 12.160
_cell_angle_alpha 90.00
_cell_angle_beta 90.00
_cell_angle_gamma 90.00
loop_
_space_group_symop_operation_xyz
'x,y,z'
'-x,-y,z'
'-x,y,z'
'x,-y,z'
'x+1/2,y+1/2,z+1/2'
'-x+1/2,-y+1/2,z+1/2'
'-x+1/2,y+1/2,z+1/2'
'x+1/2,-y+1/2,z+1/2'
loop_
_atom_site_label
_atom_site_type_symbol
_atom_site_fract_x
_atom_site_fract_y
_atom_site_fract_z
Tc1 Tc 0.000 0.000 0.000
Te1 Te 0.000 0.500 0.694
Se1 Se 0.000 0.000 0.534
Se2 Se 0.000 0.500 0.343

2.
# FeRe3P, optimized geometry, DFT GGA-PBEsol
# **Density of states at the Fermi level**: 5.99 states/eV/cell
data_FeRe3P
_space_group_name_H-M_alt 'P m -3 m'
_space_group_IT_number 221
_space_group_name_Hall '-P 4 2 3'
_cell_length_a 4.364
_cell_length_b 4.364
_cell_length_c 4.364
_cell_angle_alpha 90.00
_cell_angle_beta 90.00
_cell_angle_gamma 90.00
loop_
_atom_site_label
_atom_site_type_symbol
_atom_site_fract_x
_atom_site_fract_y
_atom_site_fract_z
Fe1 Fe 0.000 0.000 0.000
Re1 Re 0.000 0.000 0.500
P1 P 0.500 0.500 0.500

3.
# BeB2Sb, optimized geometry, DFT GGA-PBEsol
# **Density of states at the Fermi level**: 6.51 states/eV/cell
data_BeB2Sb
_space_group_name_H-M_alt 'F m -3 m'
_space_group_IT_number 225
_space_group_name_Hall '-F 4 2 3'
_cell_length_a 5.786
_cell_length_b 5.786
_cell_length_c 5.786
_cell_angle_alpha 90.00
_cell_angle_beta 90.00
_cell_angle_gamma 90.00
loop_
_atom_site_label
_atom_site_type_symbol
_atom_site_fract_x
_atom_site_fract_y
_atom_site_fract_z
Be1 Be 0.000 0.000 0.000
B1 B 0.250 0.250 0.250
Sb1 Sb 0.000 0.000 0.500

4.
# Tm3Pt4, optimized geometry, DFT GGA-PBEsol
# **Density of states at the Fermi level**: 13.84 states/eV/cell
data_Tm3Pt4
_space_group_name_H-M_alt 'R -3'
_space_group_IT_number 148
_space_group_name_Hall '-R 3'
_cell_length_a 12.8342
_cell_length_b 12.8342
_cell_length_c 5.6150
_cell_angle_alpha 90.00
_cell_angle_beta 90.00
_cell_angle_gamma 120.00
loop_
_atom_site_label
_atom_site_type_symbol
_atom_site_fract_x
_atom_site_fract_y
_atom_site_fract_z
Tm1 Tm 0.0424 0.2113 0.2356
Pt1 Pt 0.0000 0.0000 0.0000
Pt2 Pt 0.0000 0.0000 0.5000
Pt3 Pt 0.0521 0.2694 0.7196

5.
# Mn2OsW, optimized geometry, DFT GGA-PBEsol
# **Density of states at the Fermi level**: 4.55 states/eV/cell
data_Mn2OsW
_space_group_name_H-M_alt 'P m m 2'
_space_group_IT_number 25
_cell_length_a 2.672
_cell_length_b 3.608
_cell_length_c 5.314
_cell_angle_alpha 90.00
_cell_angle_beta 90.00
_cell_angle_gamma 90.00
loop_
_space_group_symop_operation_xyz
'x,y,z'
'-x,-y,z'
'-x,y,z'
'x,-y,z'
loop_
_atom_site_label
_atom_site_type_symbol
_atom_site_fract_x
_atom_site_fract_y
_atom_site_fract_z
Mn1 Mn 0.000 0.000 0.000
Mn2 Mn 0.500 0.500 0.220
Os1 Os 0.000 0.000 0.453
W1 W 0.500 0.500 0.743

6.
# BaLa2AuI, optimized geometry, DFT GGA-PBEsol
# **Density of states at the Fermi level**: 5.54 states/eV/cell
data_BaLa2AuI
_space_group_name_H-M_alt 'P 4/m m m'
_space_group_IT_number 123
_space_group_name_Hall '-P 4 2'
_cell_length_a 5.676
_cell_length_b 5.676
_cell_length_c 6.606
_cell_angle_alpha 90.00
_cell_angle_beta 90.00
_cell_angle_gamma 90.00
loop_
_atom_site_label
_atom_site_type_symbol
_atom_site_fract_x
_atom_site_fract_y
_atom_site_fract_z
Ba1 Ba 0.000 0.000 0.000
La1 La 0.000 0.500 0.500
Au1 Au 0.000 0.000 0.500
I1 I 0.500 0.500 0.000

7.
# CaHg2, optimized geometry, DFT GGA-PBEsol
# **Density of states at the Fermi level**: 1.81 states/eV/cell
data_CaHg2
_space_group_name_H-M_alt 'I 4/m m m'
_space_group_IT_number 139
_space_group_name_Hall '-I 4 2'
_cell_length_a 3.873
_cell_length_b 3.873
_cell_length_c 9.554
_cell_angle_alpha 90.00
_cell_angle_beta 90.00
_cell_angle_gamma 90.00
loop_
_atom_site_label
_atom_site_type_symbol
_atom_site_fract_x
_atom_site_fract_y
_atom_site_fract_z
Ca1 Ca 0.000 0.000 0.000
Hg1 Hg 0.000 0.000 0.330

8.
Compound: RbBaAs
Source: Alexandria via LeMat-Bulk
Functional: GGA-PBEsol
Structure: optimized geometry

```
data_RbBaAs
_space_group_name_H-M_alt 'P n m a'
_space_group_IT_number 62
_cell_length_a 8.827
_cell_length_b 5.447
_cell_length_c 9.494
_cell_angle_alpha 90.00
_cell_angle_beta 90.00
_cell_angle_gamma 90.00
loop_
_space_group_symop_operation_xyz
'x,y,z'
'-x,-y,-z'
'-x+1/2,-y,z+1/2'
'x+1/2,y,-z+1/2'
'x+1/2,-y+1/2,-z+1/2'
'-x+1/2,y+1/2,z+1/2'
'-x,y+1/2,-z'
'x,-y+1/2,z'
loop_
_atom_site_label
_atom_site_type_symbol
_atom_site_fract_x
_atom_site_fract_y
_atom_site_fract_z
Rb1 Rb 0.014 0.250 0.176
Ba1 Ba 0.158 0.250 0.587
As1 As 0.211 0.750 0.405
```

| no. | raw total energy (eV per atom) | total magnetic moment (Bohr magnetons per cell) |
| --- | --- | --- |
| 1 | -5.527 | 0.00 |
| 2 | -9.106 | 0.00 |
| 3 | -4.116 | 0.00 |
| 4 | -7.317 | 0.00 |
| 5 | -11.217 | 0.13 |
| 6 | -4.040 | 0.00 |
| 7 | -1.617 | 0.00 |
| 8 | -3.524 | 0.00 |